w | # PBE+U VBrOF2, optimized geometry
data_VBrOF2
_symmetry_space_group_name_H-M 'P 4/m m m'
_symmetry_Int_Tables_number 123
_symmetry_space_group_name_Hall '-P 4 2'
_cell_length_a 4.650
_cell_length_b 4.650
_cell_length_c 4.011
_cell_angle_alpha 90.00
_cell_angle_beta 90.00
_cell_angle_gamma 90.00
loop_
_atom_site_label
_atom_site_type_symbol
_atom_site_fract_x
_atom_site_fract_y
_atom_site_fract_z
_atom_site_occupancy
V1 V 0.000 0.000 0.000 1
Br1 Br 0.500 0.500 0.500 1
O1 O 0.500 0.500 0.000 1
F1 F 0.000 0.500 0.500 1
# crystal system: tetragonal
# size of the total moment: 3.7 Bohr magnetons per cell

x | # PBE+U VBrOF2, optimized geometry
data_VBrOF2
_symmetry_space_group_name_H-M 'P 4/m m m'
_symmetry_Int_Tables_number 123
_symmetry_space_group_name_Hall '-P 4 2'
_cell_length_a 4.146
_cell_length_b 4.146
_cell_length_c 3.747
_cell_angle_alpha 90.00
_cell_angle_beta 90.00
_cell_angle_gamma 90.00
loop_
_atom_site_label
_atom_site_type_symbol
_atom_site_fract_x
_atom_site_fract_y
_atom_site_fract_z
_atom_site_occupancy
V1 V 0.000 0.000 0.000 1
Br1 Br 0.500 0.500 0.500 1
O1 O 0.000 0.000 0.500 1
F1 F 0.000 0.500 0.000 1
# crystal system: tetragonal
# size of the total moment: 0.0 Bohr magnetons per cell

Winner for stability: x

w | # PBE+U WBrOF2, optimized geometry
data_WBrOF2
_symmetry_space_group_name_H-M 'P 4/m m m'
_symmetry_Int_Tables_number 123
_symmetry_space_group_name_Hall '-P 4 2'
_cell_length_a 4.315
_cell_length_b 4.315
_cell_length_c 3.941
_cell_angle_alpha 90.00
_cell_angle_beta 90.00
_cell_angle_gamma 90.00
loop_
_atom_site_label
_atom_site_type_symbol
_atom_site_fract_x
_atom_site_fract_y
_atom_site_fract_z
_atom_site_occupancy
W1 W 0.000 0.000 0.000 1
Br1 Br 0.500 0.500 0.500 1
O1 O 0.000 0.000 0.500 1
F1 F 0.000 0.500 0.000 1
# crystal system: tetragonal
# size of the total moment: 1.0 Bohr magnetons per cell

x | # PBE+U WBrOF2, optimized geometry
data_WBrOF2
_symmetry_space_group_name_H-M 'P 4/m m m'
_symmetry_Int_Tables_number 123
_symmetry_space_group_name_Hall '-P 4 2'
_cell_length_a 4.949
_cell_length_b 4.949
_cell_length_c 3.742
_cell_angle_alpha 90.00
_cell_angle_beta 90.00
_cell_angle_gamma 90.00
loop_
_atom_site_label
_atom_site_type_symbol
_atom_site_fract_x
_atom_site_fract_y
_atom_site_fract_z
_atom_site_occupancy
W1 W 0.000 0.000 0.000 1
Br1 Br 0.500 0.500 0.500 1
O1 O 0.500 0.500 0.000 1
F1 F 0.000 0.500 0.500 1
# crystal system: tetragonal
# size of the total moment: 4.4 Bohr magnetons per cell

Winner for stability: w